{"formula": "PuZrZnGa", "functional": "PBE", "state": "optimized geometry", "cell": [[6.915, 0.000, 0.000], [0.000, 6.915, 0.000], [0.000, 0.000, 6.915]], "species": ["Pu", "Pu", "Pu", "Pu", "Zr", "Zr", "Zr", "Zr", "Zn", "Zn", "Zn", "Zn", "Ga", "Ga", "Ga", "Ga"], "frac_coords": [[0.000, 0.000, 0.000], [0.000, 0.500, 0.500], [0.500, 0.000, 0.500], [0.500, 0.500, 0.000], [0.000, 0.000, 0.500], [0.000, 0.500, 0.000], [0.500, 0.000, 0.000], [0.500, 0.500, 0.500], [0.250, 0.250, 0.750], [0.250, 0.750, 0.250], [0.750, 0.250, 0.250], [0.750, 0.750, 0.750], [0.250, 0.250, 0.250], [0.250, 0.750, 0.750], [0.750, 0.250, 0.750], [0.750, 0.750, 0.250]], "dft_energy_ev_per_atom": -7.0005, "formation_energy_ev_per_atom": -0.205, "density_g_cm3": 9.4}